The following is a PBE calculation of a relaxed structure of InGaSb, from the Alexandria database.

Cell: 7.487 4.319 11.088 Å, 90.00 102.96 90.00°
Space group C2/m (No. 12)
Unique sites:
1 In 0.198 0.000 0.095 [4 per cell]
2 Ga 0.040 0.000 0.617 [4 per cell]
3 Sb 0.091 0.500 0.275 [4 per cell]

Properties
- Energy above the lowest structure with this stoichiometry: 0 meV/atom

***

The following is a PBE calculation of a relaxed structure of In12Ga3Sb5, from the Alexandria database.

Cell: 17.177 17.177 17.177 Å, 90.00 90.00 90.00°
Space group Ia-3d (No. 230)
Unique sites:
1 In 0.017 0.086 0.652 [96 per cell]
2 Ga 0.000 0.250 0.125 [24 per cell]
3 Sb 0.000 0.000 0.000 [16 per cell]
4 Sb 0.000 0.250 0.375 [24 per cell]

***

The following is a PBE calculation of a relaxed structure of In2Ga2Sb, from the Alexandria database.

Cell: 8.795 8.795 3.173 Å, 90.00 90.00 90.00°
Space group P4/mbm (No. 127)
Unique sites:
1 In 0.180 0.320 0.000 [4 per cell]
2 Ga 0.115 0.615 0.500 [4 per cell]
3 Sb 0.000 0.000 0.000 [2 per cell]

Properties
- Energy above the lowest structure with this stoichiometry: 19 meV/atom

***

The following is a PBE calculation of a relaxed structure of InGaSb, from the Alexandria database.

Cell: 3.320 4.199 6.063 Å, 100.95 90.46 111.95°
Space group P1 (No. 1)
Unique sites:
1 In 0.000 0.000 0.000 [1 per cell]
2 Ga 0.331 0.663 0.330 [1 per cell]
3 Sb 0.667 0.327 0.627 [1 per cell]

Properties
- Energy above the lowest structure with this stoichiometry: 36 meV/atom

***

The following is a PBE calculation of a relaxed structure of InGa2Sb, from the Alexandria database.

Cell: 4.524 4.524 4.739 Å, 90.00 90.00 90.00°
Space group P4/mmm (No. 123)
Unique sites:
1 In 0.000 0.000 0.000 [1 per cell]
2 Ga 0.000 0.500 0.500 [2 per cell]
3 Sb 0.500 0.500 0.000 [1 per cell]

Properties
- Energy above the lowest structure with this stoichiometry: 4 meV/atom

***

The following is a PBE calculation of a relaxed structure of InGa2Sb2, from the Alexandria database.

Cell: 4.381 4.381 14.567 Å, 90.00 90.00 90.00°
Space group I4/mmm (No. 139)
Unique sites:
1 In 0.000 0.000 0.000 [2 per cell]
2 Ga 0.000 0.500 0.250 [4 per cell]
3 Sb 0.000 0.000 0.374 [4 per cell]

Properties
- Energy above the lowest structure with this stoichiometry: 0 meV/atom

***

The following is a PBE calculation of a relaxed structure of InGaSb, from the Alexandria database.

Cell: 5.4819 5.4819 8.8545 Å, 90.00 90.00 120.00°
Space group R3m (No. 160, hexagonal axes)
Unique sites:
1 In 0.0000 0.0000 0.0000 [3 per cell]
2 Ga 0.0000 0.0000 0.3300 [3 per cell]
3 Sb 0.0000 0.0000 0.6469 [3 per cell]

Properties
- Energy above the lowest structure with this stoichiometry: 38 meV/atom

***

The following is a PBE calculation of a relaxed structure of InGa2Sb2, from the Alexandria database.

Cell: 8.686 8.686 3.375 Å, 90.00 90.00 90.00°
Space group P4/mbm (No. 127)
Unique sites:
1 In 0.000 0.000 0.000 [2 per cell]
2 Ga 0.135 0.365 0.500 [4 per cell]
3 Sb 0.162 0.662 0.000 [4 per cell]

Properties
- Energy above the lowest structure with this stoichiometry: 41 meV/atom

***

no.,N(E_F) (states/eV/cell),E_form (uncorrected) (meV/atom)
1,4.3,-10
2,87.0,94
3,4.2,77
4,1.1,27
5,1.5,60
6,3.8,36
7,6.2,28
8,4.1,77